[1]
HoTaP: optimized geometry, PBE.

Unit cell a=3.677 b=18.984 c=4.464 alpha=90.00 beta=90.00 gamma=90.00
Element x y z (fractional)
Ho  0.000  0.076  0.250
Ho  0.000  0.924  0.750
Ho  0.500  0.424  0.750
Ho  0.500  0.576  0.250
Ta  0.000  0.262  0.250
Ta  0.000  0.738  0.750
Ta  0.500  0.238  0.750
Ta  0.500  0.762  0.250
P  0.000  0.325  0.750
P  0.000  0.675  0.250
P  0.500  0.175  0.250
P  0.500  0.825  0.750

***

[2]
TbHo2P: optimized geometry, PBE.

Unit cell a=3.719 b=3.719 c=30.314 alpha=90.00 beta=90.00 gamma=120.00
Element x y z (fractional)
Tb  0.000  0.000  0.000
Tb  0.333  0.667  0.667
Tb  0.667  0.333  0.333
Ho  0.000  0.000  0.113
Ho  0.000  0.000  0.887
Ho  0.333  0.667  0.553
Ho  0.333  0.667  0.780
Ho  0.667  0.333  0.220
Ho  0.667  0.333  0.447
P  0.000  0.000  0.500
P  0.333  0.667  0.167
P  0.667  0.333  0.833

***

[3]
Tb5Ho3P8: optimized geometry, PBE.

Unit cell a=8.025 b=8.025 c=8.025 alpha=60.00 beta=60.00 gamma=60.00
Element x y z (fractional)
Tb  0.000  0.000  0.000
Tb  0.000  0.500  0.500
Tb  0.500  0.000  0.500
Tb  0.500  0.500  0.000
Tb  0.500  0.500  0.500
Ho  0.000  0.000  0.500
Ho  0.000  0.500  0.000
Ho  0.500  0.000  0.000
P  0.248  0.750  0.750
P  0.249  0.249  0.249
P  0.250  0.250  0.752
P  0.250  0.752  0.250
P  0.750  0.248  0.750
P  0.750  0.750  0.248
P  0.751  0.751  0.751
P  0.752  0.250  0.250

***

[4]
Tb5HoP6: optimized geometry, PBE.

Unit cell a=6.966 b=6.966 c=6.966 alpha=99.60 beta=99.60 gamma=119.98
Element x y z (fractional)
Tb  0.000  0.000  0.000
Tb  0.167  0.833  0.500
Tb  0.333  0.667  0.000
Tb  0.667  0.333  0.000
Tb  0.833  0.167  0.500
Ho  0.500  0.500  0.500
P  0.085  0.417  0.251
P  0.251  0.251  0.749
P  0.417  0.085  0.251
P  0.583  0.915  0.749
P  0.749  0.749  0.251
P  0.915  0.583  0.749

***

[5]
TbHoP: optimized geometry, PBE.

energy above the most stable polymorph in this dataset: 242 meV/atom

Unit cell a=3.506 b=3.506 c=12.252 alpha=90.00 beta=90.00 gamma=90.00
Element x y z (fractional)
Tb  0.000  0.000  0.000
Tb  0.500  0.500  0.500
Ho  0.000  0.000  0.261
Ho  0.500  0.500  0.761
P  0.000  0.000  0.632
P  0.500  0.500  0.132

***

[6]
TbHoP: optimized geometry, PBE.

energy above the most stable polymorph in this dataset: 0 meV/atom

Unit cell a=7.486 b=3.837 c=10.149 alpha=90.00 beta=90.00 gamma=90.00
Element x y z (fractional)
Tb  0.026  0.250  0.195
Tb  0.474  0.750  0.695
Tb  0.526  0.250  0.305
Tb  0.974  0.750  0.805
Ho  0.175  0.750  0.455
Ho  0.325  0.250  0.955
Ho  0.675  0.750  0.045
Ho  0.825  0.250  0.545
P  0.177  0.250  0.670
P  0.323  0.750  0.170
P  0.677  0.250  0.830
P  0.823  0.750  0.330

***

no.,raw total energy (eV/cell),energy of formation from the pure elements (meV/atom)
1,-92.00,-387
2,-63.60,-501
3,-105.97,-1613
4,-79.55,-1613
5,-33.83,-765
6,-70.56,-1007